The following is a DFT calculation (PBE-GGA) of an optimized crystal structure of Na12Tl2Sn.

abc: 6.665 6.665 23.956
angles: 90.00 90.00 90.00
Sites, in units of the cell vectors:
Na (0.500, 0.500, 0.795)
Na (0.000, 0.000, 0.795)
Na (0.750, 0.750, 0.912)
Na (0.250, 0.750, 0.912)
Na (0.000, 0.000, 0.331)
Na (0.250, 0.750, 0.088)
Na (0.824, 0.324, 0.566)
Na (0.500, 0.500, 0.331)
Na (0.250, 0.250, 0.912)
Na (0.750, 0.750, 0.088)
Na (0.324, 0.176, 0.566)
Na (0.676, 0.176, 0.434)
Na (0.000, 0.000, 0.669)
Na (0.176, 0.324, 0.434)
Na (0.250, 0.250, 0.088)
Na (0.824, 0.676, 0.434)
Na (0.676, 0.824, 0.566)
Na (0.000, 0.000, 0.205)
Na (0.176, 0.676, 0.566)
Na (0.500, 0.500, 0.669)
Na (0.750, 0.250, 0.912)
Na (0.500, 0.500, 0.205)
Na (0.324, 0.824, 0.434)
Na (0.750, 0.250, 0.088)
Tl (0.500, 0.000, 0.274)
Tl (0.000, 0.500, 0.274)
Tl (0.000, 0.500, 0.726)
Tl (0.500, 0.000, 0.726)
Sn (0.500, 0.000, 0.000)
Sn (0.000, 0.500, 0.000)

symmetry: No. 125
energy relative to the elements: 0.939 eV per formula unit
final energy: -1.575 eV/atom



The following is a DFT calculation (PBE-GGA) of an optimized crystal structure of Na17Tl11Sn.

abc: 10.376 10.376 10.321
angles: 109.40 109.40 109.60
Sites, in units of the cell vectors:
Na (0.997, 0.997, 0.336)
Na (0.685, 0.685, 0.277)
Na (0.665, 0.665, 0.662)
Na (0.417, 0.417, 0.723)
Na (0.003, 0.003, 0.001)
Na (0.309, 0.583, 0.002)
Na (0.414, 0.718, 0.412)
Na (0.001, 0.309, 0.585)
Na (0.003, 0.334, 0.001)
Na (0.278, 0.694, 0.693)
Na (0.586, 0.001, 0.309)
Na (0.001, 0.586, 0.309)
Na (0.694, 0.278, 0.693)
Na (0.334, 0.003, 0.001)
Na (0.309, 0.001, 0.585)
Na (0.718, 0.414, 0.412)
Na (0.583, 0.309, 0.002)
Tl (0.195, 0.195, 0.810)
Tl (0.619, 0.811, 0.001)
Tl (0.193, 0.383, 0.383)
Tl (0.811, 0.000, 0.618)
Tl (0.618, 0.000, 0.807)
Tl (0.808, 0.192, 0.190)
Tl (0.192, 0.808, 0.190)
Tl (0.000, 0.618, 0.807)
Tl (0.000, 0.811, 0.618)
Tl (0.383, 0.193, 0.383)
Tl (0.811, 0.619, 0.001)
Sn (0.372, 0.372, 0.190)

symmetry: No. 8
energy relative to the elements: -3.317 eV per formula unit
final energy: -1.923 eV/atom



The following is a DFT calculation (PBE-GGA) of an optimized crystal structure of Na3Tl2Sn2.

abc: 5.297 3.349 11.482
angles: 98.39 103.34 90.00
Sites, in units of the cell vectors:
Na (0.000, 0.000, 0.000)
Na (0.702, 0.202, 0.404)
Na (0.298, 0.798, 0.596)
Tl (0.148, 0.648, 0.296)
Tl (0.852, 0.352, 0.704)
Sn (0.569, 0.569, 0.138)
Sn (0.431, 0.431, 0.862)

symmetry: No. 71
distance to the lowest polymorph of the same formula: 4 kJ/mol of formula units
energy relative to the elements: -0.826 eV per formula unit
final energy: -2.503 eV/atom



The following is a DFT calculation (PBE-GGA) of an optimized crystal structure of NaTl2Sn.

abc: 4.472 4.472 7.952
angles: 73.67 73.67 60.00
Sites, in units of the cell vectors:
Na (0.668, 0.668, 0.997)
Tl (0.091, 0.091, 0.728)
Tl (0.243, 0.243, 0.270)
Sn (0.499, 0.499, 0.504)

symmetry: No. 160
energy relative to the elements: -0.018 eV per formula unit
final energy: -2.518 eV/atom



The following is a DFT calculation (PBE-GGA) of an optimized crystal structure of Na5TlSn2.

abc: 4.906 6.780 13.547
angles: 90.00 90.00 90.00
Sites, in units of the cell vectors:
Na (0.000, 0.000, 0.000)
Na (0.000, 0.500, 0.500)
Na (0.000, 0.499, 0.756)
Na (0.000, 0.501, 0.244)
Na (0.000, 0.001, 0.256)
Na (0.000, 0.999, 0.744)
Na (0.500, 0.254, 0.879)
Na (0.500, 0.746, 0.121)
Na (0.500, 0.246, 0.379)
Na (0.500, 0.754, 0.621)
Tl (0.000, 0.000, 0.500)
Tl (0.000, 0.500, 0.000)
Sn (0.500, 0.247, 0.625)
Sn (0.500, 0.753, 0.375)
Sn (0.500, 0.253, 0.125)
Sn (0.500, 0.747, 0.875)

symmetry: No. 55
energy relative to the elements: -0.723 eV per formula unit
final energy: -2.211 eV/atom



The following is a DFT calculation (PBE-GGA) of an optimized crystal structure of Na7Tl2Sn.

abc: 3.404 10.756 10.756
angles: 120.34 90.00 90.00
Sites, in units of the cell vectors:
Na (0.000, 0.814, 0.186)
Na (0.000, 0.186, 0.814)
Na (0.500, 0.131, 0.309)
Na (0.500, 0.869, 0.691)
Na (0.500, 0.309, 0.131)
Na (0.500, 0.691, 0.869)
Na (0.500, 0.500, 0.500)
Tl (0.500, 0.667, 0.333)
Tl (0.500, 0.333, 0.667)
Sn (0.000, 0.000, 0.000)

symmetry: No. 65
energy relative to the elements: 0.203 eV per formula unit
final energy: -1.777 eV/atom



The following is a DFT calculation (PBE-GGA) of an optimized crystal structure of NaTl8Sn2.

abc: 4.449 8.231 9.555
angles: 105.38 103.46 90.00
Sites, in units of the cell vectors:
Na (0.500, 0.000, 0.000)
Tl (0.592, 0.446, 0.183)
Tl (0.316, 0.104, 0.632)
Tl (0.139, 0.182, 0.278)
Tl (0.047, 0.720, 0.095)
Tl (0.861, 0.818, 0.722)
Tl (0.684, 0.896, 0.368)
Tl (0.408, 0.554, 0.817)
Tl (0.953, 0.280, 0.905)
Sn (0.228, 0.617, 0.456)
Sn (0.772, 0.383, 0.544)

symmetry: No. 12
distance to the lowest polymorph of the same formula: 0 kJ/mol of formula units
energy relative to the elements: -0.299 eV per formula unit
final energy: -2.596 eV/atom



The following is a DFT calculation (PBE-GGA) of an optimized crystal structure of NaTl4Sn4.

abc: 4.271 8.116 8.116
angles: 86.03 74.74 74.74
Sites, in units of the cell vectors:
Na (0.500, 0.500, 0.000)
Tl (0.168, 0.166, 0.999)
Tl (0.832, 0.834, 0.001)
Tl (0.834, 0.499, 0.334)
Tl (0.166, 0.501, 0.666)
Sn (0.501, 0.154, 0.344)
Sn (0.499, 0.846, 0.656)
Sn (0.155, 0.844, 0.346)
Sn (0.845, 0.156, 0.654)

symmetry: No. 87
energy relative to the elements: -0.166 eV per formula unit
final energy: -2.996 eV/atom



The following is a DFT calculation (PBE-GGA) of an optimized crystal structure of Na5Tl2Sn5.

abc: 5.313 8.455 8.829
angles: 66.95 72.49 71.69
Sites, in units of the cell vectors:
Na (0.500, 0.500, 0.500)
Na (0.408, 0.264, 0.919)
Na (0.319, 0.996, 0.366)
Na (0.681, 0.004, 0.634)
Na (0.592, 0.736, 0.081)
Tl (0.836, 0.536, 0.792)
Tl (0.164, 0.464, 0.208)
Sn (0.935, 0.766, 0.365)
Sn (0.229, 0.753, 0.788)
Sn (0.771, 0.247, 0.212)
Sn (0.065, 0.234, 0.635)
Sn (0.000, 0.000, 0.000)

symmetry: No. 12
energy relative to the elements: -1.384 eV per formula unit
final energy: -2.727 eV/atom



The following is a DFT calculation (PBE-GGA) of an optimized crystal structure of Na2Tl7Sn2.

abc: 4.986 9.233 8.960
angles: 121.01 106.15 90.00
Sites, in units of the cell vectors:
Na (0.000, 0.633, 0.000)
Na (0.500, 0.310, 0.000)
Tl (0.158, 0.057, 0.317)
Tl (0.155, 0.500, 0.311)
Tl (0.500, 0.939, 0.000)
Tl (0.348, 0.468, 0.695)
Tl (0.652, 0.773, 0.305)
Tl (0.842, 0.740, 0.683)
Tl (0.845, 0.190, 0.689)
Sn (0.301, 0.923, 0.602)
Sn (0.699, 0.321, 0.398)

symmetry: No. 44
distance to the lowest polymorph of the same formula: 0 kJ/mol of formula units
energy relative to the elements: -0.516 eV per formula unit
final energy: -2.520 eV/atom



Number 1: theoretical density 2.51 g cm⁻³. Number 2: theoretical density 5.35 g cm⁻³. Number 3: theoretical density 6.06 g cm⁻³. Number 4: theoretical density 7.02 g cm⁻³. Number 5: theoretical density 4.10 g cm⁻³. Number 6: theoretical density 3.36 g cm⁻³. Number 7: theoretical density 9.61 g cm⁻³. Number 8: theoretical density 8.34 g cm⁻³. Number 9: theoretical density 5.47 g cm⁻³. Number 10: theoretical density 8.51 g cm⁻³.